VASP calculation (PBE) on NbCoP2S after structural relaxation.

The energy above the most stable polymorph in this dataset comes out at 0 kJ/mol of formula units. For the energy, the calculation gives -29.84 eV for the cell shown. The magnetic moment is 0.159 μB per atom.

It has space group P4/mmm (No. 123), with a = 4.2500 Å, b = 4.2500 Å, c = 4.4907 Å, α = 90.00°, β = 90.00° and γ = 90.00°. The asymmetric unit holds Nb at (0.0000, 0.0000, 0.0000), Co at (0.5000, 0.5000, 0.5000), P at (0.0000, 0.5000, 0.5000) and S at (0.5000, 0.5000, 0.0000).